# 1
First-principles (PBE-GGA) data for a relaxed structure of La3Re2, as listed in Alexandria.

Calculated values
total magnetization	0.0	μB per formula unit
E above lowest polymorph	313.2	meV per atom
symmetry	Fddd (70)
formation enthalpy at 0 K	465.9	meV per atom

```
10
Lattice="0.000 5.774 7.949 2.708 0.000 7.949 2.708 5.774 0.000" Properties=species:S:1:pos:R:3 pbc="T T T"
La 2.708 5.774 14.110
La 2.708 5.774 1.787
La 1.354 2.887 5.762
La 1.354 2.887 2.187
La 2.708 5.774 7.949
La 4.062 8.661 11.923
Re 4.062 8.661 15.540
Re 4.062 8.661 8.306
Re 2.708 5.774 4.332
Re 2.708 5.774 11.565
```

# 2
First-principles (PBE-GGA) data for a relaxed structure of GeSeBr2, as listed in Alexandria.

Calculated values
formation energy from raw total energies	-0.342	eV per atom
total magnetization	0.0	μB per formula unit
E above lowest polymorph	133.7	meV per atom
symmetry	P1 (1)

```
8
Lattice="-2.580 -0.235 -6.670 -2.791 -6.228 -2.140 -6.930 2.648 -0.660" Properties=species:S:1:pos:R:3 pbc="T T T"
Ge -2.757 -0.879 -2.276
Ge -7.352 -5.398 -7.815
Se -2.709 -0.993 -4.779
Se -4.128 -5.451 -3.580
Br -4.964 -0.668 -1.570
Br -2.056 -3.078 -1.749
Br -5.472 -1.440 -5.103
Br -10.069 -3.885 -7.632
```

# 3
First-principles (PBE-GGA) data for a relaxed structure of CsBaBiOs, as listed in Alexandria.

Calculated values
total magnetization	0.0	μB per formula unit
E above lowest polymorph	73.0	meV per atom
symmetry	Cm (8)
formation enthalpy at 0 K	368.3	meV per atom

```
8
Lattice="-1.350 -5.037 0.056 5.040 -1.343 0.731 -0.270 5.449 11.876" Properties=species:S:1:pos:R:3 pbc="T T T"
Cs -0.895 -1.166 4.033
Cs 1.490 0.888 10.337
Os -1.067 -3.827 0.328
Os 1.318 -1.774 6.632
Bi -0.374 -1.315 0.161
Bi 2.012 0.739 6.465
Ba -1.422 -1.050 7.878
Ba 1.233 -4.446 2.305
```

# 4
First-principles (PBE-GGA) data for a relaxed structure of DyVTc, as listed in Alexandria.

Calculated values
total magnetization	0.0	μB per formula unit
E above lowest polymorph	0.0	meV per atom
symmetry	Pnma (62)
formation enthalpy at 0 K	102.2	meV per atom

```
12
Lattice="4.278 0.000 0.000 0.000 4.937 0.000 0.000 0.000 11.636" Properties=species:S:1:pos:R:3 pbc="T T T"
Dy 1.070 1.009 8.116
Dy 1.070 1.459 2.298
Dy 3.209 3.928 3.520
Dy 3.209 3.478 9.338
Tc 1.070 3.270 6.119
Tc 1.070 4.136 0.301
Tc 3.209 1.667 5.517
Tc 3.209 0.801 11.335
V 1.070 1.998 10.967
V 1.070 0.471 5.149
V 3.209 2.939 0.669
V 3.209 4.466 6.487
```

# 5
First-principles (PBE-GGA) data for a relaxed structure of PmPr2TaN4, as listed in Alexandria.

Calculated values
formation energy from raw total energies	-1.242	eV per atom
total magnetization	0.0	μB per formula unit
symmetry	Imma (74)

```
16
Lattice="6.988 0.010 -0.105 0.005 6.988 -0.105 -3.518 -3.520 5.053" Properties=species:S:1:pos:R:3 pbc="T T T"
Pm 0.003 3.494 -0.052
Pm 5.232 1.744 2.369
Pr 3.494 0.005 -0.053
Pr 1.735 -1.755 2.474
Pr -1.759 -1.760 2.526
Pr 3.497 3.499 -0.105
Ta 1.738 1.739 2.421
Ta 3.471 -3.510 4.948
N -1.988 1.919 4.930
N 3.287 0.216 2.439
N 0.188 3.262 2.404
N 5.464 1.559 -0.087
N 1.879 1.857 4.694
N 3.357 3.337 2.570
N 0.118 0.141 2.273
N 1.597 1.621 0.148
```

# 6
First-principles (PBE-GGA) data for a relaxed structure of Sr2Co12Si7, as listed in Alexandria.

Calculated values
formation energy from raw total energies	-0.395	eV per atom
total magnetization	2.1	μB per formula unit
symmetry	P-6 (174)

```
21
Lattice="-0.977 1.540 3.238 -6.409 5.036 -4.328 -2.149 -8.339 3.318" Properties=species:S:1:pos:R:3 pbc="T T T"
Sr -0.488 0.770 1.619
Sr -4.989 0.578 -1.779
Co -7.622 0.189 -0.256
Co -5.244 3.567 -1.146
Co -3.565 0.287 0.921
Co -3.647 -4.509 3.178
Co -5.602 -2.900 1.823
Co -2.924 -1.921 2.165
Co -1.535 -4.173 1.522
Co -5.077 -5.440 1.057
Co -4.095 -2.028 -0.270
Co -6.481 -2.129 -0.942
Co -6.586 2.866 -3.350
Co -1.900 0.996 -1.047
Si -3.569 -3.880 0.769
Si -1.987 -6.181 2.341
Si -6.660 -4.282 0.028
Si -2.060 -1.178 -0.061
Si -5.734 -0.831 0.799
Si -7.337 2.413 -1.228
Si -3.360 2.462 -0.052
```